Computed, not measured: crystalline RbTaIN2 at its relaxed geometry at the PBE level of DFT.

Geometry as POSCAR:
```
RbTaIN2
1.0
4.278 0.000 0.000
0.000 4.278 0.000
0.000 0.000 5.793
Rb Ta I N
1 1 1 2
direct
0.000 0.000 0.000
0.500 0.500 0.500
0.500 0.500 0.000
0.000 0.500 0.500
0.500 0.000 0.500
```

Computed properties:
Total moment = 0.145 μB/atom
Formation energy (no corrections) = 0.09 eV/atom
Symmetry = P4/mmm (123)
DFT total energy = -6.119 eV/atom

***

Computed, not measured: crystalline Sc6AgRh5 at its relaxed geometry at the PBE level of DFT.

Geometry as POSCAR:
```
Sc6AgRh5
1.0
7.307 -3.234 0.000
7.307 3.234 0.000
-1.437 0.000 4.404
Sc Ag Rh
6 1 5
direct
0.076 0.583 0.329
0.241 0.759 0.000
0.417 0.924 0.671
0.583 0.076 0.329
0.759 0.241 0.000
0.924 0.417 0.671
0.500 0.500 0.500
0.000 0.000 0.500
0.166 0.166 0.166
0.334 0.334 0.834
0.666 0.666 0.166
0.834 0.834 0.834
```

Computed properties:
Total moment = 0.000 μB/atom
Symmetry = C2/m (12)
DFT total energy = -7.345 eV/atom

***

Computed, not measured: crystalline AcUS at its relaxed geometry at the PBE level of DFT.

Geometry as POSCAR:
```
AcUS
1.0
-1.900 1.900 6.268
1.900 -1.900 6.268
1.900 1.900 -6.268
Ac U S
1 1 1
direct
0.000 0.000 0.000
0.291 0.291 0.000
0.758 0.758 0.000
```

Computed properties:
Total moment = 0.927 μB/atom
Formation energy (no corrections) = -0.48 eV/atom
Symmetry = I4mm (107)
DFT total energy = -6.990 eV/atom

***

Computed, not measured: crystalline Y3Mg6Sc at its relaxed geometry at the PBE level of DFT.

Geometry as POSCAR:
```
Y3Mg6Sc
1.0
9.177 0.000 0.000
0.000 5.223 0.000
-2.981 0.000 10.743
Y Mg Sc
6 12 2
direct
0.044 0.250 0.398
0.150 0.750 0.211
0.252 0.250 0.006
0.748 0.750 0.994
0.850 0.250 0.789
0.956 0.750 0.602
0.057 0.750 0.903
0.171 0.250 0.705
0.269 0.750 0.516
0.353 0.750 0.811
0.367 0.250 0.308
0.456 0.750 0.111
0.544 0.250 0.889
0.633 0.750 0.692
0.647 0.250 0.189
0.731 0.250 0.484
0.829 0.750 0.295
0.943 0.250 0.097
0.452 0.250 0.595
0.548 0.750 0.405
```

Computed properties:
Total moment = 0.033 μB/atom
Symmetry = P2_1/m (11)
DFT total energy = -3.601 eV/atom

***

Computed, not measured: crystalline Li3Ca5 at its relaxed geometry at the PBE level of DFT.

Geometry as POSCAR:
```
Li3Ca5
1.0
9.637 0.000 0.000
-4.819 8.346 0.000
0.000 0.000 6.904
Li Ca
6 10
direct
0.000 0.405 0.250
0.000 0.595 0.750
0.405 0.000 0.250
0.405 0.405 0.750
0.595 0.000 0.750
0.595 0.595 0.250
0.000 0.243 0.750
0.000 0.757 0.250
0.243 0.000 0.750
0.243 0.243 0.250
0.333 0.667 0.000
0.333 0.667 0.500
0.667 0.333 0.000
0.667 0.333 0.500
0.757 0.000 0.250
0.757 0.757 0.750
```

Computed properties:
Total moment = 0.000 μB/atom
Symmetry = P6_3/mcm (193)
DFT total energy = -1.929 eV/atom

***

Computed, not measured: crystalline PaReGe at its relaxed geometry at the PBE level of DFT.

Geometry as POSCAR:
```
PaReGe
1.0
4.968 0.000 0.000
0.000 3.302 0.000
-2.477 0.000 6.964
Pa Re Ge
2 2 2
direct
0.000 0.000 0.000
0.185 0.500 0.368
0.239 0.000 0.692
0.730 0.500 0.675
0.503 0.500 0.981
0.707 0.000 0.387
```

Computed properties:
Total moment = 0.000 μB/atom
Symmetry = Pm (6)
DFT total energy = -8.942 eV/atom

***

Computed, not measured: crystalline Ac2P3Pd4Rh at its relaxed geometry at the PBE level of DFT.

Geometry as POSCAR:
```
Ac2P3Pd4Rh
1.0
4.279 0.000 0.000
0.000 4.279 0.000
0.000 0.000 10.477
Ac P Pd Rh
2 3 4 1
direct
0.000 0.500 0.243
0.500 0.000 0.757
0.000 0.000 0.000
0.000 0.500 0.623
0.500 0.000 0.377
0.000 0.000 0.500
0.000 0.500 0.849
0.500 0.000 0.151
0.500 0.500 0.500
0.500 0.500 0.000
```

Computed properties:
Total moment = 0.000 μB/atom
Symmetry = P-4m2 (115)
DFT total energy = -6.033 eV/atom

***

Computed, not measured: crystalline AcTb7Dy4 at its relaxed geometry at the PBE level of DFT.

Geometry as POSCAR:
```
AcTb7Dy4
1.0
6.124 -3.027 0.000
6.124 3.027 0.000
-6.056 0.000 11.018
Ac Tb Dy
1 7 4
direct
0.000 0.000 0.000
0.053 0.053 0.344
0.216 0.216 0.919
0.366 0.366 0.492
0.500 0.500 0.000
0.634 0.634 0.508
0.784 0.784 0.081
0.947 0.947 0.656
0.258 0.258 0.684
0.373 0.373 0.225
0.627 0.627 0.775
0.742 0.742 0.316
```

Computed properties:
Total moment = 0.000 μB/atom
Symmetry = C2/m (12)
DFT total energy = -4.274 eV/atom

***

Question: Which of these has the highest total moment?
Answer: AcUS